[1]
VASP calculation (PBEsol) on a relaxed TlCuCl2 crystal.

Cell: 3.472 3.472 7.696 Å, 90.00 90.00 90.00°
Space group P4mm (No. 99)
Asymmetric unit:
Tl 0.000 0.000 0.000
Cu 0.500 0.500 0.518
Cl 0.000 0.000 0.583
Cl 0.500 0.500 0.224

Values from the calculation:
Fermi-level density of states = 0.1390 states/eV per atom

***

[2]
VASP calculation (PBEsol) on a relaxed TlCuCl2 crystal.

Cell: 7.203 7.203 7.028 Å, 90.00 90.00 90.00°
Space group I-42d (No. 122)
Asymmetric unit:
Tl 0.000 0.000 0.000
Cu 0.000 0.000 0.500
Cl 0.157 0.250 0.625

***

Going through the records in order, we get size of the total moment values of 0.00, 0.00 Bohr magnetons per cell.
Going through the records in order, we get energy above the most stable polymorph in this dataset values of 148, 0 meV/atom.